[1]
A geometry-optimized PaGaI6 structure, computed with GGA-PBE.

Lattice parameters (Å, degrees): 8.3743 8.3743 8.3743 55.81 55.81 55.81
Last column: nearest neighbours and their distance in Å.
Atoms (fractional coordinates):
Pa 0.0000 0.0000 0.0000  6 I 2.96
Ga 0.5000 0.5000 0.5000  6 I 3.29
I 0.0759 0.3914 0.7739  1 Pa 2.96, 1 Ga 3.29
I 0.2261 0.9241 0.6086  1 Pa 2.96, 1 Ga 3.29
I 0.3914 0.7739 0.0759  1 Pa 2.96, 1 Ga 3.29
I 0.6086 0.2261 0.9241  1 Pa 2.96, 1 Ga 3.29
I 0.7739 0.0759 0.3914  1 Pa 2.96, 1 Ga 3.29
I 0.9241 0.6086 0.2261  1 Pa 2.96, 1 Ga 3.29

Output
VASP energy: -3.512 eV/atom
size of the total moment: 0.000 μB per atom
raw formation energy: -0.784 eV per atom

***

[2]
A geometry-optimized PaGa2I8 structure, computed with GGA-PBE.

Lattice parameters (Å, degrees): 8.8860 8.8860 8.1616 101.29 101.29 80.17
Last column: nearest neighbours and their distance in Å.
Atoms (fractional coordinates):
Pa 0.0000 0.0000 0.0000  6 I 2.95-2.97
Ga 0.1951 0.1951 0.6491  1 I 2.67
Ga 0.8049 0.8049 0.3509  1 I 2.67
I 0.0991 0.7449 0.2011  1 Pa 2.97, 1 Ga 3.02
I 0.1989 0.1989 0.2528  1 Pa 2.95, 1 Ga 3.25
I 0.2551 0.9009 0.7989  1 Pa 2.97, 1 Ga 3.02
I 0.3869 0.3869 0.8401  1 Ga 2.67
I 0.6131 0.6131 0.1599  1 Ga 2.67
I 0.7449 0.0991 0.2011  1 Pa 2.97, 1 Ga 3.02
I 0.8011 0.8011 0.7472  1 Pa 2.95, 1 Ga 3.25
I 0.9009 0.2551 0.7989  1 Pa 2.97, 1 Ga 3.02

Output
VASP energy: -3.132 eV/atom
size of the total moment: 0.020 μB per atom
raw formation energy: -0.591 eV per atom

***

[3]
A geometry-optimized PaGaI2 structure, computed with GGA-PBE.

Lattice parameters (Å, degrees): 10.9318 10.9318 10.9318 20.40 20.40 20.40
Last column: nearest neighbours and their distance in Å.
Atoms (fractional coordinates):
Pa 0.0000 0.0000 0.0000  2 I 3.02
Ga 0.5000 0.5000 0.5000  6 I 3.23
I 0.0941 0.0941 0.0941  1 Pa 3.02, 3 Ga 3.23
I 0.9059 0.9059 0.9059  1 Pa 3.02, 3 Ga 3.23

Output
VASP energy: -3.787 eV/atom
size of the total moment: 0.572 μB per atom
raw formation energy: 0.118 eV per atom